Record 1
DFT (PBE-GGA) results for a relaxed structure of TlCdRe2.

Cell and atoms, written as POSCAR:
```
TlCdRe2
1.0
0.000 3.296 3.296
3.296 0.000 3.296
3.296 3.296 0.000
Tl Cd Re
1 1 2
direct
0.000 0.000 0.000
0.750 0.750 0.750
0.250 0.250 0.250
0.500 0.500 0.500
```

## Properties
DFT formation energy = 1037 meV per atom
VASP energy = -6.007 eV per atom
ΔE to the lowest computed polymorph = 641 meV/atom
N(E_F) = 4.02 states/eV per cell
Space-group type = F-43m, No. 216

Record 2
DFT (PBE-GGA) results for a relaxed structure of YTlCd2Re.

Cell and atoms, written as POSCAR:
```
YTlCd2Re
1.0
5.354 0.000 0.000
0.000 5.354 0.000
0.000 0.000 5.138
Y Tl Cd Re
1 1 2 1
direct
0.000 0.000 0.000
0.500 0.500 0.000
0.000 0.500 0.500
0.500 0.000 0.500
0.000 0.000 0.500
```

## Properties
DFT formation energy = 544 meV per atom
VASP energy = -4.078 eV per atom
N(E_F) = 2.02 states/eV per cell
Space-group type = P4/mmm, No. 123

Record 3
DFT (PBE-GGA) results for a relaxed structure of V2CdRe.

Cell and atoms, written as POSCAR:
```
V2CdRe
1.0
-3.549 3.549 2.723
3.549 -3.549 2.723
3.549 3.549 -2.723
V Cd Re
4 2 2
direct
0.084 0.625 0.959
0.375 0.334 0.459
0.666 0.125 0.041
0.875 0.916 0.541
0.250 0.750 0.500
0.500 0.500 0.000
0.000 0.000 0.000
0.750 0.250 0.500
```

## Properties
DFT formation energy = 719 meV per atom
VASP energy = -7.182 eV per atom
N(E_F) = 8.94 states/eV per cell
Space-group type = I-42d, No. 122

Record 4
DFT (PBE-GGA) results for a relaxed structure of V2CdRe.

Cell and atoms, written as POSCAR:
```
V2CdRe
1.0
3.087 0.000 0.000
0.000 3.087 0.000
0.000 0.000 6.567
V Cd Re
2 1 1
direct
0.000 0.000 0.214
0.000 0.000 0.786
0.500 0.500 0.500
0.500 0.500 0.000
```

## Properties
DFT formation energy = 74 meV per atom
VASP energy = -7.826 eV per atom
N(E_F) = 4.07 states/eV per cell
Space-group type = P4/mmm, No. 123

Record 5
DFT (PBE-GGA) results for a relaxed structure of CdReW2.

Cell and atoms, written as POSCAR:
```
CdReW2
1.0
2.863 0.000 0.000
0.000 4.083 0.000
0.000 0.000 5.755
Cd Re W
1 1 2
direct
0.000 0.000 0.000
0.000 0.000 0.500
0.500 0.500 0.279
0.500 0.500 0.721
```

## Properties
DFT formation energy = 473 meV per atom
VASP energy = -9.345 eV per atom
N(E_F) = 2.31 states/eV per cell
Space-group type = Pmmm, No. 47

Record 6
DFT (PBE-GGA) results for a relaxed structure of CdReW2.

Cell and atoms, written as POSCAR:
```
CdReW2
1.0
1.592 -2.258 0.000
1.592 2.258 0.000
0.000 0.000 9.384
Cd Re W
1 1 2
direct
0.000 0.000 0.000
0.000 0.000 0.500
0.500 0.500 0.269
0.500 0.500 0.731
```

## Properties
DFT formation energy = 385 meV per atom
VASP energy = -9.432 eV per atom
N(E_F) = 2.81 states/eV per cell
Space-group type = Cmmm, No. 65

Record 7
DFT (PBE-GGA) results for a relaxed structure of CdReW2.

Cell and atoms, written as POSCAR:
```
CdReW2
1.0
2.841 0.000 0.000
0.000 2.841 0.000
0.000 0.000 8.399
Cd Re W
1 1 2
direct
0.000 0.000 0.000
0.500 0.500 0.265
0.000 0.000 0.484
0.500 0.500 0.729
```

## Properties
DFT formation energy = 545 meV per atom
VASP energy = -9.273 eV per atom
N(E_F) = 3.94 states/eV per cell
Space-group type = P4mm, No. 99

Record 8
DFT (PBE-GGA) results for a relaxed structure of CdReW2.

Cell and atoms, written as POSCAR:
```
CdReW2
1.0
2.939 0.000 0.000
0.000 3.989 0.000
0.000 0.000 5.854
Cd Re W
1 1 2
direct
0.000 0.000 0.000
0.500 0.500 0.289
0.000 0.000 0.492
0.500 0.500 0.715
```

## Properties
DFT formation energy = 517 meV per atom
VASP energy = -9.300 eV per atom
N(E_F) = 2.72 states/eV per cell
Space-group type = Pmm2, No. 25

Record 9
DFT (PBE-GGA) results for a relaxed structure of CdRe3W.

Cell and atoms, written as POSCAR:
```
CdRe3W
1.0
4.681 0.000 0.000
0.000 4.681 0.000
0.000 0.000 4.681
Cd Re W
1 3 1
direct
0.000 0.000 0.000
0.000 0.000 0.500
0.000 0.500 0.000
0.500 0.000 0.000
0.500 0.500 0.500
```

## Properties
DFT formation energy = 3321 meV per atom
VASP energy = -6.921 eV per atom
ΔE to the lowest computed polymorph = 1175 meV/atom
N(E_F) = 6.85 states/eV per cell
Space-group type = Pm-3m, No. 221

Record 10
DFT (PBE-GGA) results for a relaxed structure of CdReW2.

Cell and atoms, written as POSCAR:
```
CdReW2
1.0
-2.017 2.017 4.059
2.017 -2.017 4.059
2.017 2.017 -4.059
Cd Re W
1 1 2
direct
0.000 0.000 0.000
0.250 0.750 0.500
0.500 0.500 0.000
0.750 0.250 0.500
```

## Properties
DFT formation energy = 622 meV per atom
VASP energy = -9.195 eV per atom
N(E_F) = 2.42 states/eV per cell
Space-group type = I-4m2, No. 119

Record 11
DFT (PBE-GGA) results for a relaxed structure of CdReW2.

Cell and atoms, written as POSCAR:
```
CdReW2
1.0
2.814 -4.175 0.000
2.814 4.175 0.000
0.000 0.000 2.806
Cd Re W
1 1 2
direct
0.000 0.000 0.000
0.500 0.500 0.000
0.000 0.500 0.500
0.500 0.000 0.500
```

## Properties
DFT formation energy = 567 meV per atom
VASP energy = -9.250 eV per atom
N(E_F) = 3.28 states/eV per cell
Space-group type = Cmmm, No. 65

Record 12
DFT (PBE-GGA) results for a relaxed structure of CdReW2.

Cell and atoms, written as POSCAR:
```
CdReW2
1.0
-3.747 3.747 2.717
3.747 -3.747 2.717
3.747 3.747 -2.717
Cd Re W
2 2 4
direct
0.000 0.000 0.000
0.750 0.250 0.500
0.250 0.750 0.500
0.500 0.500 0.000
0.174 0.625 0.049
0.375 0.424 0.549
0.576 0.125 0.951
0.875 0.826 0.451
```

## Properties
DFT formation energy = 1079 meV per atom
VASP energy = -8.738 eV per atom
N(E_F) = 7.59 states/eV per cell
Space-group type = I-42d, No. 122